Entry 1:
DFT (PBEsol) results for a geometry-optimized TaCr2Cd structure.

## Properties
Fermi-level density of states in states/eV per cell: 4.80
Final energy in eV/cell: -32.70

Unit cell a=3.1478 b=3.1478 c=6.0903 alpha=90.00 beta=90.00 gamma=90.00
Last column: magnetic moment on the atom in μB.
Fractional positions:
1 Cd 0.5000 0.5000 0.5000  -0.01
2 Cr 0.0000 0.0000 0.7830  0.80
3 Cr 0.0000 0.0000 0.2170  0.80
4 Ta 0.5000 0.5000 0.0000  -0.13

Entry 2:
DFT (PBEsol) results for a geometry-optimized Y2SiRh structure.

## Properties
Fermi-level density of states in states/eV per cell: 2.67
Final energy in eV/cell: -30.98

Unit cell a=3.9508 b=4.0907 c=5.6127 alpha=111.37 beta=90.00 gamma=90.00
Fractional positions:
1 Y 0.0000 0.1087 0.2174
2 Y 0.5000 0.3912 0.7824
3 Si 0.5000 0.6826 0.3651
4 Rh 0.0000 0.8264 0.6529

Entry 3:
DFT (PBEsol) results for a geometry-optimized K2CaReCl structure.

## Properties
Fermi-level density of states in states/eV per cell: 3.88
Final energy in eV/cell: -15.41

Unit cell a=4.3678 b=6.6610 c=6.6610 alpha=90.00 beta=90.00 gamma=90.00
Last column: magnetic moment on the atom in μB.
Fractional positions:
1 Re 0.0000 0.0000 0.0000  0.67
2 Ca 0.5000 0.5000 0.5000  -0.03
3 K 0.0000 0.0000 0.5000  0.00
4 K 0.0000 0.5000 0.0000  0.00
5 Cl 0.5000 0.0000 0.0000  -0.01

Entry 4:
DFT (PBEsol) results for a geometry-optimized PrMgCu2O6 structure.

## Properties
Fermi-level density of states in states/eV per cell: 9.35
Final energy in eV/cell: -125.33

Unit cell a=5.1887 b=5.3552 c=7.4462 alpha=90.00 beta=90.00 gamma=90.00
Fractional positions:
1 Pr 0.9904 0.2894 0.0000
2 Pr 0.4904 0.7106 0.5000
3 Mg 0.5271 0.8119 0.0000
4 Mg 0.0271 0.1881 0.5000
5 Cu 0.0010 0.7497 0.7521
6 Cu 0.0010 0.7497 0.2479
7 Cu 0.5010 0.2503 0.2521
8 Cu 0.5010 0.2503 0.7479
9 O 0.9327 0.7944 0.5000
10 O 0.7663 0.0122 0.8023
11 O 0.7663 0.0122 0.1977
12 O 0.6940 0.5502 0.1948
13 O 0.6940 0.5502 0.8052
14 O 0.6253 0.2672 0.5000
15 O 0.4327 0.2056 0.0000
16 O 0.2663 0.9878 0.6977
17 O 0.2663 0.9878 0.3023
18 O 0.1940 0.4498 0.6948
19 O 0.1940 0.4498 0.3052
20 O 0.1253 0.7328 0.0000

Entry 5:
DFT (PBEsol) results for a geometry-optimized SiIr3O structure.

## Properties
Fermi-level density of states in states/eV per cell: 6.01
Final energy in eV/cell: -32.17

Unit cell a=4.3857 b=4.3857 c=4.3857 alpha=90.00 beta=90.00 gamma=90.00
Last column: magnetic moment on the atom in μB.
Fractional positions:
1 Si 0.0000 0.0000 0.0000  -0.01
2 Ir 0.0000 0.5000 0.0000  0.75
3 Ir 0.0000 0.0000 0.5000  0.75
4 Ir 0.5000 0.0000 0.0000  0.75
5 O 0.5000 0.5000 0.5000  1.22

Entry 6:
DFT (PBEsol) results for a geometry-optimized NaAuCl4 structure.

## Properties
Fermi-level density of states in states/eV per cell: 0.00
Final energy in eV/cell: -36.51

Unit cell a=4.2167 b=6.5678 c=10.9313 alpha=89.21 beta=90.00 gamma=90.00
Fractional positions:
1 Na 0.0000 0.0000 0.5000
2 Na 0.5000 0.5000 0.0000
3 Au 0.5000 0.5000 0.5000
4 Au 0.0000 0.0000 0.0000
5 Cl 0.4963 0.7927 0.3836
6 Cl 0.9963 0.7073 0.1164
7 Cl 0.5037 0.2073 0.6164
8 Cl 0.0037 0.2927 0.8836
9 Cl 0.1840 0.3447 0.3581
10 Cl 0.6840 0.1553 0.1419
11 Cl 0.8160 0.6553 0.6419
12 Cl 0.3160 0.8447 0.8581

Entry 7:
DFT (PBEsol) results for a geometry-optimized Tc2NiPb2 structure.

## Properties
Fermi-level density of states in states/eV per cell: 3.08
Final energy in eV/cell: -32.00

Unit cell a=5.1662 b=5.1662 c=5.1662 alpha=93.16 beta=118.19 gamma=118.19
Fractional positions:
1 Pb 0.5000 0.7500 0.2500
2 Pb 0.5000 0.2500 0.7500
3 Ni 0.0000 0.0000 0.0000
4 Tc 0.0000 0.6510 0.6510
5 Tc 0.0000 0.3490 0.3490

Entry 8:
DFT (PBEsol) results for a geometry-optimized Ti2SbPt2 structure.

## Properties
Fermi-level density of states in states/eV per cell: 6.87
Final energy in eV/cell: -77.24

Unit cell a=3.0269 b=7.4961 c=7.4961 alpha=90.00 beta=90.00 gamma=90.00
Fractional positions:
1 Sb 0.0000 0.0000 0.0000
2 Sb 0.0000 0.5000 0.5000
3 Pt 0.0000 0.3693 0.8693
4 Pt 0.0000 0.8693 0.6307
5 Pt 0.0000 0.6307 0.1307
6 Pt 0.0000 0.1307 0.3693
7 Ti 0.5000 0.1620 0.6620
8 Ti 0.5000 0.6620 0.8380
9 Ti 0.5000 0.8380 0.3380
10 Ti 0.5000 0.3380 0.1620